Entry from Alexandria: a geometry-optimized Ti6PtRh2 structure (PBE).

Computed properties:
- excess energy over the best structure of this formula in the dataset (meV/atom) = 68.7
- ρ (kg/m3) = 8195
- ΔH_f (0 K) (eV/atom) = -0.34
- magnetization (Bohr magnetons per cell) = 0.0

a = 13.215 Å, b = 7.708 Å, c = 2.738 Å
α = 90.00°, β = 91.18°, γ = 90.00°
Space group C2/m (No. 12)
Symmetry-distinct sites (fractional):
1 Ti 0.000 0.169 0.000 x4
2 Ti 0.170 0.327 0.826 x8
3 Pt 0.000 0.500 0.500 x2
4 Rh 0.165 0.000 0.511 x4